Record 1
The following is a PBE calculation of a geometry-optimized Na5Cd4Sn structure, from Alexandria.

The calculation puts the density of states at the Fermi level at 8.83 states/eV/cell. The electronic total energy comes out at -1.52 eV per atom. As for the theoretical density: 4.4 Mg/m³.

The structure belongs to space group R3m (No. 160, hexagonal axes); the cell edges are 5.2348, 5.2348 and 32.7769 Å and the angles 90.00°, 90.00° and 120.00°. The distinct sites, in fractional coordinates, are Na at (0.0000, 0.0000, 0.0000), Na at (0.0000, 0.0000, 0.0972), Na at (0.0000, 0.0000, 0.1957), Na at (0.0000, 0.0000, 0.6033), Na at (0.0000, 0.0000, 0.8970), Cd at (0.0000, 0.0000, 0.2972), Cd at (0.0000, 0.0000, 0.3895), Cd at (0.0000, 0.0000, 0.7068), Cd at (0.0000, 0.0000, 0.8004) and Sn at (0.0000, 0.0000, 0.4889).

Record 2
The following is a PBE calculation of a geometry-optimized Mn2IrSe structure, from Alexandria.

The calculation puts the density of states at the Fermi level at 7.25 states/eV/cell. For the energy relative to the elements, uncorrected, the calculation gives 0.60 eV per formula unit. The electronic total energy comes out at -7.52 eV per atom. As for the theoretical density: 10.9 Mg/m³.

The structure belongs to space group Cm (No. 8); the cell edges are 8.326, 2.982 and 4.704 Å and the angles 90.00°, 95.25° and 90.00°. The distinct sites, in fractional coordinates, are Mn at (0.000, 0.000, 0.000), Mn at (0.237, 0.500, 0.267), Ir at (0.471, 0.000, 0.475) and Se at (0.267, 0.000, 0.842).

Question: Among the records above, which one has the lowest theoretical density?
Answer: Na5Cd4Sn

Question: Among the records above, which one has the lowest theoretical density?
Answer: Na5Cd4Sn

Question: Which of these has the highest theoretical density?
Answer: Mn2IrSe